A plane-wave DFT calculation with PBE-GGA was carried out for an optimized crystal structure of K2InBr.

Lattice parameters (Å, degrees): 5.4523 5.4523 10.3845 90.00 90.00 90.00
With the nearest neighbours (Å) after each atom.
Space group I4/mmm (No. 139)
Inequivalent atoms, fractional coordinates:
K: 0.0000 0.5000 0.2500 x4  4 Br 3.76, 4 In 3.76, 4 K 3.86
In: 0.0000 0.0000 0.0000 x2  8 K 3.76, 4 Br 3.86
Br: 0.0000 0.0000 0.5000 x2  8 K 3.76, 4 In 3.86

Total magnetization = 0.086 μB per atom
Energy above the most stable polymorph in this dataset = 0.283 eV per atom

---

A plane-wave DFT calculation with PBE-GGA was carried out for an optimized crystal structure of Ba4Te3.

Lattice parameters (Å, degrees): 7.1795 7.1795 6.4820 90.00 90.00 120.00
With the nearest neighbours (Å) after each atom.
Space group P6/mmm (No. 191)
Inequivalent atoms, fractional coordinates:
Ba: 0.0000 0.0000 0.2365 x2  2 Ba 3.07-3.42
Ba: 0.3333 0.6667 0.5000 x2  6 Te 3.85, 3 Ba 4.15
Te: 0.0000 0.5000 0.0000 x3  4 Te 3.59, 8 Ba 3.85-3.90

Total magnetization = 0.341 μB per atom
Energy above the most stable polymorph in this dataset = 0.809 eV per atom

---

A plane-wave DFT calculation with PBE-GGA was carried out for an optimized crystal structure of LaPmNdS3.

Lattice parameters (Å, degrees): 7.0555 3.9909 10.6731 90.00 102.49 90.00
With the nearest neighbours (Å) after each atom.
Space group P2_1/m (No. 11)
Inequivalent atoms, fractional coordinates:
La: 0.1512 0.2500 0.1948 x2  7 S 2.95-3.06
Pm: 0.2674 0.7500 0.5550 x2  6 S 2.82-2.91
Nd: 0.3749 0.2500 0.8692 x2  5 S 2.82-2.89
S: 0.0463 0.2500 0.6615 x2  3 Pm 2.83-2.91, 1 Nd 2.84, 2 La 3.03
S: 0.2182 0.7500 0.0053 x2  3 Nd 2.83-2.89, 3 La 2.95-2.99
S: 0.4447 0.7500 0.3424 x2  3 Pm 2.82-2.89, 1 Nd 2.82, 2 La 3.06

Total magnetization = 0.000 μB per atom

---

Number 1: calculated total energy -2.14 eV/atom. Number 2: calculated total energy -3.12 eV/atom. Number 3: calculated total energy -6.46 eV/atom.